No. 1
! CaHoPt (PBE, relaxed); values from VASP
! - Relative energy among the computed polymorphs: 0.0000 eV per atom
! - Formation enthalpy at 0 K: -841 meV per atom
! - Magnetic moment: 0.0 μB per cell
&SYSTEM
  ibrav = 0, nat = 18, ntyp = 3
/
ATOMIC_SPECIES
Ca 40.08 Ca.upf
Ho 164.93 Ho.upf
Pt 195.08 Pt.upf
ATOMIC_POSITIONS crystal
Ca 0.0001 0.2500 0.2501
Ca 0.9999 0.7500 0.7499
Ca 0.4119 0.3683 0.5435
Ca 0.4127 0.8690 0.0437
Ca 0.8253 0.3690 0.9563
Ca 0.8248 0.8683 0.4565
Ho 0.1565 0.2849 0.8719
Ho 0.1565 0.7846 0.3716
Ho 0.4130 0.2846 0.1281
Ho 0.4130 0.7849 0.6284
Ho 0.6683 0.1683 0.5000
Ho 0.6683 0.6683 0.0000
Pt 0.0792 0.4128 0.6666
Pt 0.0792 0.9126 0.1663
Pt 0.4121 0.1622 0.7499
Pt 0.4123 0.6622 0.2501
Pt 0.7462 0.4126 0.3334
Pt 0.7462 0.9128 0.8337
CELL_PARAMETERS angstrom
-4.5968 6.5796 3.8014
4.5968 -6.5796 3.8014
4.5968 6.5796 -3.8014

=====

No. 2
! CaHoPt (PBE, relaxed); values from VASP
! - Relative energy among the computed polymorphs: 0.0579 eV per atom
! - Formation enthalpy at 0 K: -783 meV per atom
! - Magnetic moment: 0.0 μB per cell
&SYSTEM
  ibrav = 0, nat = 3, ntyp = 3
/
ATOMIC_SPECIES
Ca 40.08 Ca.upf
Ho 164.93 Ho.upf
Pt 195.08 Pt.upf
ATOMIC_POSITIONS crystal
Ca 0.0000 0.0000 0.0000
Ho 0.5000 0.5000 0.5000
Pt 0.7500 0.7500 0.7500
CELL_PARAMETERS angstrom
0.0000 3.4456 3.4456
3.4456 0.0000 3.4456
3.4456 3.4456 0.0000